The following is a DFT calculation (PBE) of MgInCu2 after structural relaxation.

a b c (Å): 6.3531 6.3531 6.3531
angles (deg): 90.00 90.00 90.00
Space group Pm-3m (No. 221)
Inequivalent atoms, fractional coordinates:
Mg: 0.0000 0.0000 0.0000 (multiplicity 1)
Mg: 0.0000 0.0000 0.5000 (multiplicity 3)
In: 0.0000 0.5000 0.5000 (multiplicity 3)
In: 0.5000 0.5000 0.5000 (multiplicity 1)
Cu: 0.2405 0.2405 0.2405 (multiplicity 8)

Properties
Total DFT energy (no corrections) ... -2.971 eV per atom